Entry 1:
Here is a relaxed YCd2Fe crystal from Alexandria via LeMat-Bulk. Energies are from GGA-PBE.

Computed properties:
The space group is P4/mmm, No. 123.

Cell: 3.431 3.431 7.133 Å, 90.00 90.00 90.00°
Positions (direct):
Cd: 0.000 0.000 0.043
Cd: 0.000 0.000 0.457
Fe: 0.500 0.500 0.250
Y: 0.500 0.500 0.750


Entry 2:
Here is a relaxed Y2CdFe crystal from Alexandria via LeMat-Bulk. Energies are from GGA-PBE.

Computed properties:
The space group is R-3m, No. 166.

Cell: 8.763 8.763 8.763 Å, 24.26 24.26 24.26°
Positions (direct):
Cd: 0.250 0.250 0.250
Y: 0.015 0.015 0.015
Y: 0.485 0.485 0.485
Fe: 0.750 0.750 0.750


Entry 3:
Here is a relaxed YCdFe2 crystal from Alexandria via LeMat-Bulk. Energies are from GGA-PBE.

Computed properties:
The space group is R-3m, No. 166.

Cell: 9.408 9.408 9.408 Å, 18.77 18.77 18.77°
Positions (direct):
Cd: 0.750 0.750 0.750
Fe: 0.003 0.003 0.003
Fe: 0.497 0.497 0.497
Y: 0.250 0.250 0.250


Entry 4:
Here is a relaxed Y4CdFe crystal from Alexandria via LeMat-Bulk. Energies are from GGA-PBE.

Computed properties:
The energy above the most stable polymorph in this dataset comes out at 0 meV per atom. The space group is C2/c, No. 15.

Cell: 6.118 7.643 7.643 Å, 110.34 99.22 99.22°
Positions (direct):
Y: 0.043 0.940 0.267
Y: 0.605 0.200 0.365
Y: 0.457 0.733 0.060
Y: 0.957 0.060 0.733
Y: 0.895 0.635 0.800
Y: 0.395 0.800 0.635
Y: 0.105 0.365 0.200
Y: 0.543 0.267 0.940
Cd: 0.750 0.627 0.373
Cd: 0.250 0.373 0.627
Fe: 0.750 0.002 0.998
Fe: 0.250 0.998 0.002


Number 1: formation energy 39 kJ/mol of formula units. Number 2: formation energy 36 kJ/mol of formula units. Number 3: formation energy 215 kJ/mol of formula units. Number 4: formation energy -65 kJ/mol of formula units.